Entry from the Alexandria database: CdCoRh2 after structural relaxation (PBE-GGA).

Summary:
E_form: 0.1480 eV per atom
Magnetization: 2.20 μB per formula unit
Space-group type: No. 8
V: 14.9 Å³ per atom
Excess energy over the best structure of this formula in the dataset: 120 meV per atom
Crystal system: monoclinic
Calculated total energy: -22.13 eV/cell

Unit cell a=4.7611 b=4.7611 c=4.7775 alpha=79.08 beta=79.08 gamma=34.23
Element x y z (fractional)
Cd 0.5022 0.5022 0.4972
Co 0.2601 0.2601 0.2237
Rh 0.9960 0.9960 0.0067
Rh 0.7418 0.7418 0.7724